(1)
A plane-wave DFT calculation with GGA-PBE was carried out for a geometry-optimized NpInGeAu structure.

space-group type = F-43m (216)

a b c (Å): 4.9814 4.9814 4.9814
angles (deg): 60.00 60.00 60.00
Fractional positions:
Np 0.0000 0.0000 0.0000
In 0.5000 0.5000 0.5000
Ge 0.2500 0.2500 0.2500
Au 0.7500 0.7500 0.7500

(2)
A plane-wave DFT calculation with GGA-PBE was carried out for a geometry-optimized Al3Zn4Tc2 structure.

space-group type = C2/m (12)

a b c (Å): 5.0523 5.0523 8.4244
angles (deg): 110.33 110.33 40.37
Fractional positions:
Al 0.0000 0.0000 0.0000
Al 0.3267 0.3267 0.4441
Al 0.6733 0.6733 0.5559
Zn 0.0166 0.0166 0.6738
Zn 0.3240 0.3240 0.1094
Zn 0.6760 0.6760 0.8906
Zn 0.9834 0.9834 0.3262
Tc 0.3474 0.3474 0.7764
Tc 0.6526 0.6526 0.2236

(3)
A plane-wave DFT calculation with GGA-PBE was carried out for a geometry-optimized Tb14PmZr structure.

space-group type = P4/mmm (123)

a b c (Å): 7.0868 7.0868 9.9852
angles (deg): 90.00 90.00 90.00
Fractional positions:
Tb 0.0000 0.0000 0.0000
Tb 0.0000 0.5000 0.0000
Tb 0.0000 0.5000 0.5000
Tb 0.2445 0.2445 0.2547
Tb 0.2445 0.2445 0.7453
Tb 0.2445 0.7555 0.2547
Tb 0.2445 0.7555 0.7453
Tb 0.5000 0.0000 0.0000
Tb 0.5000 0.0000 0.5000
Tb 0.5000 0.5000 0.0000
Tb 0.7555 0.2445 0.2547
Tb 0.7555 0.2445 0.7453
Tb 0.7555 0.7555 0.2547
Tb 0.7555 0.7555 0.7453
Pm 0.5000 0.5000 0.5000
Zr 0.0000 0.0000 0.5000

(4)
A plane-wave DFT calculation with GGA-PBE was carried out for a geometry-optimized Tb2Y2HoMg2 structure.

space-group type = R-3m (166)

a b c (Å): 8.5957 8.5957 8.5957
angles (deg): 37.02 37.02 37.02
Fractional positions:
Tb 0.0741 0.0741 0.0741
Tb 0.9259 0.9259 0.9259
Y 0.3457 0.3457 0.3457
Y 0.6543 0.6543 0.6543
Ho 0.5000 0.5000 0.5000
Mg 0.2114 0.2114 0.2114
Mg 0.7886 0.7886 0.7886

(5)
A plane-wave DFT calculation with GGA-PBE was carried out for a geometry-optimized VB3C structure.

polymorph energy (0 for the lowest one) = 1250 meV/atom
space-group type = Pm-3m (221)

a b c (Å): 3.9629 3.9629 3.9629
angles (deg): 90.00 90.00 90.00
Fractional positions:
V 0.0000 0.0000 0.0000
B 0.0000 0.0000 0.5000
B 0.0000 0.5000 0.0000
B 0.5000 0.0000 0.0000
C 0.5000 0.5000 0.5000

(6)
A plane-wave DFT calculation with GGA-PBE was carried out for a geometry-optimized Nd3Se structure.

polymorph energy (0 for the lowest one) = 0 meV/atom
space-group type = Imm2 (44)
ΔE_f (raw) = -0.734 eV/atom

a b c (Å): 6.1778 6.1778 6.1778
angles (deg): 143.98 76.40 115.24
Fractional positions:
Nd 0.0000 0.0000 0.0000
Nd 0.3789 0.5745 0.8044
Nd 0.7700 0.5745 0.1956
Se 0.3409 0.8409 0.5000

(7)
A plane-wave DFT calculation with GGA-PBE was carried out for a geometry-optimized LiLaTmZn structure.

space-group type = F-43m (216)

a b c (Å): 5.2174 5.2174 5.2174
angles (deg): 60.00 60.00 60.00
Fractional positions:
Li 0.0000 0.0000 0.0000
La 0.7500 0.7500 0.7500
Tm 0.2500 0.2500 0.2500
Zn 0.5000 0.5000 0.5000

(8)
A plane-wave DFT calculation with GGA-PBE was carried out for a geometry-optimized Ho8Cu2Hg structure.

polymorph energy (0 for the lowest one) = 0 meV/atom
space-group type = C2/m (12)

a b c (Å): 9.1371 9.1371 6.9222
angles (deg): 107.24 107.24 32.12
Fractional positions:
Ho 0.0343 0.0343 0.2720
Ho 0.1980 0.1980 0.8285
Ho 0.3241 0.3241 0.5152
Ho 0.4056 0.4056 0.0299
Ho 0.5944 0.5944 0.9701
Ho 0.6759 0.6759 0.4848
Ho 0.8020 0.8020 0.1715
Ho 0.9657 0.9657 0.7280
Cu 0.1825 0.1825 0.2128
Cu 0.8175 0.8175 0.7872
Hg 0.5000 0.5000 0.5000

(9)
A plane-wave DFT calculation with GGA-PBE was carried out for a geometry-optimized KLaCu2Pb structure.

space-group type = P4/mmm (123)

a b c (Å): 5.2291 5.2291 6.2844
angles (deg): 90.00 90.00 90.00
Fractional positions:
K 0.0000 0.0000 0.0000
La 0.0000 0.0000 0.5000
Cu 0.0000 0.5000 0.5000
Cu 0.5000 0.0000 0.5000
Pb 0.5000 0.5000 0.0000

(10)
A plane-wave DFT calculation with GGA-PBE was carried out for a geometry-optimized CsKAlF6 structure.

space-group type = P1 (1)
ΔE_f (raw) = -2.860 eV/atom

a b c (Å): 5.4035 5.9590 5.9594
angles (deg): 60.05 89.98 89.99
Fractional positions:
Cs 0.0000 0.0000 0.0000
K 0.5310 0.6666 0.6667
Al 0.3578 0.3349 0.3331
F 0.1664 0.4778 0.4803
F 0.1685 0.4798 0.0419
F 0.1716 0.0416 0.4779
F 0.5489 0.6267 0.1907
F 0.5523 0.1903 0.6222
F 0.5545 0.1949 0.1855

(11)
A plane-wave DFT calculation with GGA-PBE was carried out for a geometry-optimized Y2AgPt9 structure.

polymorph energy (0 for the lowest one) = 0 meV/atom
space-group type = P4/mmm (123)

a b c (Å): 4.0972 4.0972 12.2217
angles (deg): 90.00 90.00 90.00
Fractional positions:
Y 0.0000 0.0000 0.1707
Y 0.0000 0.0000 0.8293
Ag 0.0000 0.0000 0.5000
Pt 0.0000 0.5000 0.0000
Pt 0.0000 0.5000 0.3399
Pt 0.0000 0.5000 0.6601
Pt 0.5000 0.0000 0.0000
Pt 0.5000 0.0000 0.3399
Pt 0.5000 0.0000 0.6601
Pt 0.5000 0.5000 0.1698
Pt 0.5000 0.5000 0.5000
Pt 0.5000 0.5000 0.8302

(12)
A plane-wave DFT calculation with GGA-PBE was carried out for a geometry-optimized Pm2Nd3Mg structure.

polymorph energy (0 for the lowest one) = 332 meV/atom
space-group type = Immm (71)

a b c (Å): 10.2867 10.2867 10.2867
angles (deg): 160.91 144.38 40.72
Fractional positions:
Pm 0.1566 0.1566 0.0000
Pm 0.8434 0.8434 0.0000
Nd 0.0000 0.5000 0.5000
Nd 0.3324 0.3324 0.0000
Nd 0.6676 0.6676 0.0000
Mg 0.5000 0.5000 0.0000

Number 1: calculated total energy -5.986 eV per atom. Number 2: calculated total energy -4.317 eV per atom. Number 3: calculated total energy -4.846 eV per atom. Number 4: calculated total energy -4.292 eV per atom. Number 5: calculated total energy -4.992 eV per atom. Number 6: calculated total energy -5.181 eV per atom. Number 7: calculated total energy -3.247 eV per atom. Number 8: calculated total energy -4.261 eV per atom. Number 9: calculated total energy -2.678 eV per atom. Number 10: calculated total energy -4.740 eV per atom. Number 11: calculated total energy -6.480 eV per atom. Number 12: calculated total energy -3.898 eV per atom.